i:
Compound: Cd2Sb2Au
Source: Alexandria
Functional: PBE
Structure: relaxed

Total magnetization (μB/atom): 0.00
SG: P4/mbm

a b c (Å): 7.424 7.424 4.618
angles (deg): 90.00 90.00 90.00
Fractional positions:
Sb1 0.356 0.144 0.500
Au1 0.500 0.500 0.000
Sb2 0.856 0.356 0.500
Cd1 0.655 0.155 0.000
Sb3 0.144 0.644 0.500
Cd2 0.155 0.345 0.000
Au2 0.000 0.000 0.000
Cd3 0.845 0.655 0.000
Cd4 0.345 0.845 0.000
Sb4 0.644 0.856 0.500



ii:
Compound: Cd2Sb2Au
Source: Alexandria
Functional: PBE
Structure: relaxed

Total magnetization (μB/atom): 0.00
SG: I4/mmm

a b c (Å): 3.957 3.957 8.773
angles (deg): 76.97 76.97 90.00
Fractional positions:
Cd1 0.750 0.250 0.500
Sb1 0.586 0.586 0.827
Sb2 0.414 0.414 0.173
Cd2 0.250 0.750 0.500
Au1 0.000 0.000 0.000



iii:
Compound: Cd2Sb2Au
Source: Alexandria
Functional: PBE
Structure: relaxed

Total magnetization (μB/atom): 0.00
SG: P4/mbm

a b c (Å): 7.755 7.755 4.410
angles (deg): 90.00 90.00 90.00
Fractional positions:
Cd1 0.634 0.866 0.500
Sb1 0.683 0.183 0.000
Cd2 0.866 0.366 0.500
Sb2 0.183 0.317 0.000
Sb3 0.317 0.817 0.000
Au1 0.500 0.500 0.000
Cd3 0.366 0.134 0.500
Sb4 0.817 0.683 0.000
Au2 0.000 0.000 0.000
Cd4 0.134 0.634 0.500



iv:
Compound: Cd2Sb2Au
Source: Alexandria
Functional: PBE
Structure: relaxed

Total magnetization (μB/atom): 0.00
SG: I4/mmm

a b c (Å): 4.206 4.206 8.256
angles (deg): 75.24 75.24 90.00
Fractional positions:
Au1 0.000 0.000 0.000
Cd1 0.412 0.412 0.177
Sb1 0.750 0.250 0.500
Cd2 0.588 0.588 0.823
Sb2 0.250 0.750 0.500



iii comes first in stability; the runner-up is 68 meV per atom higher.



i:
Compound: Cd2SbAu2
Source: Alexandria
Functional: PBE
Structure: relaxed

Total magnetization (μB/atom): 0.00
SG: P4/mbm

a b c (Å): 8.159 8.159 3.259
angles (deg): 90.00 90.00 90.00
Fractional positions:
Cd1 0.134 0.634 0.500
Cd2 0.866 0.366 0.500
Au1 0.335 0.835 0.000
Sb1 0.500 0.500 0.000
Au2 0.665 0.165 0.000
Sb2 0.000 0.000 0.000
Cd3 0.634 0.866 0.500
Au3 0.835 0.665 0.000
Au4 0.165 0.335 0.000
Cd4 0.366 0.134 0.500



ii:
Compound: Cd2SbAu2
Source: Alexandria
Functional: PBE
Structure: relaxed

Total magnetization (μB/atom): 0.00
SG: I4/mmm

a b c (Å): 4.050 4.050 7.388
angles (deg): 74.09 74.09 90.00
Fractional positions:
Au1 0.400 0.400 0.201
Au2 0.600 0.600 0.799
Cd1 0.750 0.250 0.500
Cd2 0.250 0.750 0.500
Sb1 0.000 0.000 0.000



i comes first in stability; the runner-up is 77 meV per atom higher.



i:
Compound: CdSbAu3
Source: Alexandria
Functional: PBE
Structure: relaxed

Total magnetization (μB/atom): 0.00
SG: Pm-3m

a b c (Å): 5.265 5.265 5.265
angles (deg): 90.00 90.00 90.00
Fractional positions:
Cd1 0.500 0.500 0.500
Au1 0.000 0.000 0.500
Au2 0.500 0.000 0.000
Sb1 0.000 0.000 0.000
Au3 0.000 0.500 0.000



ii:
Compound: CdSbAu3
Source: Alexandria
Functional: PBE
Structure: relaxed

Total magnetization (μB/atom): 0.00
SG: Pm-3m

a b c (Å): 5.114 5.114 5.114
angles (deg): 90.00 90.00 90.00
Fractional positions:
Sb1 0.500 0.500 0.500
Cd1 0.000 0.000 0.000
Au1 0.000 0.000 0.500
Au2 0.500 0.000 0.000
Au3 0.000 0.500 0.000



i comes first in stability; the runner-up is 324 meV per atom higher.



i:
Compound: Sc2Cd2Au
Source: Alexandria
Functional: PBE
Structure: relaxed

Total magnetization (μB/atom): 0.00
SG: Cmmm

a b c (Å): 3.300 3.311 10.244
angles (deg): 80.70 90.00 90.00
Fractional positions:
Cd1 0.000 0.811 0.379
Sc1 0.500 0.587 0.825
Cd2 0.000 0.189 0.621
Au1 0.000 0.000 0.000
Sc2 0.500 0.413 0.175



ii:
Compound: Sc2Cd2Au
Source: Alexandria
Functional: PBE
Structure: relaxed

Total magnetization (μB/atom): 0.00
SG: I4/mmm

a b c (Å): 3.829 3.829 8.532
angles (deg): 77.03 77.03 90.00
Fractional positions:
Sc1 0.410 0.410 0.180
Cd1 0.750 0.250 0.500
Sc2 0.590 0.590 0.820
Au1 0.000 0.000 0.000
Cd2 0.250 0.750 0.500



iii:
Compound: Sc2Cd2Au
Source: Alexandria
Functional: PBE
Structure: relaxed

Total magnetization (μB/atom): 0.00
SG: Ibam

a b c (Å): 5.392 6.149 7.837
angles (deg): 113.10 110.12 90.00
Fractional positions:
Sc1 0.176 0.841 0.353
Au1 0.750 0.500 0.000
Cd1 0.600 0.966 0.200
Au2 0.250 0.500 0.000
Sc2 0.824 0.159 0.647
Cd2 0.900 0.765 0.800
Sc3 0.324 0.489 0.647
Sc4 0.676 0.511 0.353
Cd3 0.400 0.034 0.800
Cd4 0.100 0.235 0.200



i comes first in stability; the runner-up is 99 meV per atom higher.



i:
Compound: Sc2Cd2Au
Source: Alexandria
Functional: PBE
Structure: relaxed

Total magnetization (μB/atom): 0.00
SG: P4/mbm

a b c (Å): 7.298 7.298 4.460
angles (deg): 90.00 90.00 90.00
Fractional positions:
Au1 0.000 0.000 0.000
Cd1 0.354 0.146 0.500
Cd2 0.854 0.354 0.500
Cd3 0.146 0.646 0.500
Sc1 0.846 0.654 0.000
Sc2 0.654 0.154 0.000
Cd4 0.646 0.854 0.500
Au2 0.500 0.500 0.000
Sc3 0.154 0.346 0.000
Sc4 0.346 0.846 0.000



ii:
Compound: Sc2Cd2Au
Source: Alexandria
Functional: PBE
Structure: relaxed

Total magnetization (μB/atom): 0.00
SG: P4/mbm

a b c (Å): 7.395 7.395 3.973
angles (deg): 90.00 90.00 90.00
Fractional positions:
Sc1 0.833 0.333 0.500
Au1 0.500 0.500 0.000
Cd1 0.135 0.365 0.000
Cd2 0.365 0.865 0.000
Sc2 0.667 0.833 0.500
Sc3 0.333 0.167 0.500
Cd3 0.865 0.635 0.000
Sc4 0.167 0.667 0.500
Au2 0.000 0.000 0.000
Cd4 0.635 0.135 0.000



ii comes first in stability; the runner-up is 117 meV per atom higher.